# 1
Below is a geometry-optimized Pm2Zn3AgPd4 structure, with properties calculated at the GGA-PBE level.

For the calculated formation energy, the calculation gives -570 meV/atom. The value obtained for the total energy is -4.264 eV per atom. As for the space-group type: No. 115.

a b c (Å): 4.1235 4.1235 11.4129
angles (deg): 90.00 90.00 90.00
Element x y z (fractional)
Zn 0.5000 0.0000 0.8711
Zn 0.0000 0.5000 0.1289
Zn 0.0000 0.0000 0.5000
Pm 0.0000 0.5000 0.7561
Pm 0.5000 0.0000 0.2439
Pd 0.5000 0.5000 0.0000
Pd 0.5000 0.0000 0.6539
Pd 0.0000 0.0000 0.0000
Pd 0.0000 0.5000 0.3461
Ag 0.5000 0.5000 0.5000



# 2
Below is a geometry-optimized PmZn3AgPd structure, with properties calculated at the GGA-PBE level.

For the calculated formation energy, the calculation gives -183 meV/atom. The value obtained for the total energy is -2.953 eV per atom. As for the space-group type: No. 63.

a b c (Å): 5.5398 8.0766 6.9486
angles (deg): 125.53 90.00 90.00
Element x y z (fractional)
Pm 0.7500 0.3022 0.6044
Pm 0.2500 0.6978 0.3956
Zn 0.5000 0.7490 0.0000
Zn 0.2500 0.1668 0.3337
Zn 0.7500 0.8332 0.6663
Zn 0.0000 0.7490 0.0000
Zn 0.0000 0.2510 0.0000
Zn 0.5000 0.2510 0.0000
Ag 0.7500 0.5935 0.1869
Ag 0.2500 0.4065 0.8131
Pd 0.7500 0.0610 0.1219
Pd 0.2500 0.9390 0.8781



# 3
Below is a geometry-optimized Pm2Zn5AgPd2 structure, with properties calculated at the GGA-PBE level.

For the calculated formation energy, the calculation gives -396 meV/atom. The value obtained for the total energy is -3.307 eV per atom. As for the space-group type: No. 127.

a b c (Å): 3.9895 9.8342 9.8342
angles (deg): 90.00 90.00 90.00
Element x y z (fractional)
Pm 0.0000 0.6829 0.1829
Pm 0.0000 0.8171 0.6829
Pm 0.0000 0.3171 0.8171
Pm 0.0000 0.1829 0.3171
Zn 0.5000 0.5000 0.0000
Zn 0.5000 0.2999 0.5518
Zn 0.5000 0.4482 0.2999
Zn 0.5000 0.5518 0.7001
Zn 0.5000 0.2001 0.0518
Zn 0.5000 0.0518 0.7999
Zn 0.5000 0.7001 0.4482
Zn 0.5000 0.0000 0.5000
Zn 0.5000 0.7999 0.9482
Zn 0.5000 0.9482 0.2001
Ag 0.0000 0.0000 0.0000
Ag 0.0000 0.5000 0.5000
Pd 0.0000 0.1153 0.6153
Pd 0.0000 0.3847 0.1153
Pd 0.0000 0.6153 0.8847
Pd 0.0000 0.8847 0.3847